1.
Computed, not measured: a relaxed structure of Y2Pd3Pt3 at the GGA-PBE level of DFT.

Lattice parameters (Å, degrees): 4.1041 4.1244 8.3190 90.00 90.00 90.00
Fractional positions:
Y 0.0000 0.0000 0.2501
Y 0.0000 0.0000 0.7499
Pd 0.5000 0.0000 0.0000
Pd 0.5000 0.5000 0.2496
Pd 0.5000 0.5000 0.7504
Pt 0.0000 0.5000 0.0000
Pt 0.0000 0.5000 0.5000
Pt 0.5000 0.0000 0.5000

Results
N(E_F) ... 1.224 states/eV per atom
Magnetization ... 0.00 Bohr magnetons per cell
Symmetry ... No. 47
Energy of formation ... -21.308 kcal/mol of atoms

***

2.
Computed, not measured: a relaxed structure of Tm2CdPd3 at the GGA-PBE level of DFT.

Lattice parameters (Å, degrees): 4.8141 4.8141 11.7299 90.00 90.00 120.00
Fractional positions:
Tm 0.0000 0.0000 0.0000
Tm 0.0000 0.0000 0.5000
Tm 0.3333 0.6667 0.1792
Tm 0.6667 0.3333 0.8208
Cd 0.3333 0.6667 0.6676
Cd 0.6667 0.3333 0.3324
Pd 0.0000 0.0000 0.2482
Pd 0.0000 0.0000 0.7518
Pd 0.3333 0.6667 0.4233
Pd 0.3333 0.6667 0.9215
Pd 0.6667 0.3333 0.0785
Pd 0.6667 0.3333 0.5767

Results
N(E_F) ... 0.566 states/eV per atom
Magnetization ... 0.00 Bohr magnetons per cell
Symmetry ... No. 164
Energy of formation ... -18.984 kcal/mol of atoms
Offset from the most stable computed form ... 0.0 kJ per mole of atoms

***

3.
Computed, not measured: a relaxed structure of In2Fe2Re at the GGA-PBE level of DFT.

Lattice parameters (Å, degrees): 6.1708 6.1708 4.2121 90.00 90.00 90.00
Fractional positions:
In 0.1788 0.3212 0.0000
In 0.3212 0.8212 0.0000
In 0.6788 0.1788 0.0000
In 0.8212 0.6788 0.0000
Fe 0.1281 0.6281 0.5000
Fe 0.3719 0.1281 0.5000
Fe 0.6281 0.8719 0.5000
Fe 0.8719 0.3719 0.5000
Re 0.0000 0.0000 0.5000
Re 0.5000 0.5000 0.5000

Results
N(E_F) ... 0.814 states/eV per atom
Magnetization ... 1.38 Bohr magnetons per cell
Symmetry ... No. 127
Energy of formation ... 10.456 kcal/mol of atoms
Offset from the most stable computed form ... 0.0 kJ per mole of atoms

***

4.
Computed, not measured: a relaxed structure of TeMoRh2Br at the GGA-PBE level of DFT.

Lattice parameters (Å, degrees): 4.8059 4.8059 5.1979 90.00 90.00 90.00
Fractional positions:
Te 0.0000 0.0000 0.0000
Mo 0.0000 0.0000 0.5000
Rh 0.0000 0.5000 0.5000
Rh 0.5000 0.0000 0.5000
Br 0.5000 0.5000 0.0000

Results
Energy ... -25.4 eV per cell
N(E_F) ... 1.186 states/eV per atom
Magnetization ... 0.00 Bohr magnetons per cell
Symmetry ... No. 123

***

5.
Computed, not measured: a relaxed structure of Tb6TmCd at the GGA-PBE level of DFT.

Lattice parameters (Å, degrees): 4.9027 4.9027 10.0224 90.00 90.00 90.00
Fractional positions:
Tb 0.0000 0.0000 0.0000
Tb 0.0000 0.0000 0.5000
Tb 0.0000 0.5000 0.2459
Tb 0.0000 0.5000 0.7541
Tb 0.5000 0.0000 0.2459
Tb 0.5000 0.0000 0.7541
Tm 0.5000 0.5000 0.5000
Cd 0.5000 0.5000 0.0000

Results
N(E_F) ... 1.482 states/eV per atom
Magnetization ... 0.00 Bohr magnetons per cell
Symmetry ... No. 123
Energy of formation ... -0.758 kcal/mol of atoms
Offset from the most stable computed form ... 0.0 kJ per mole of atoms

***

6.
Computed, not measured: a relaxed structure of CuH11C4N2O10 at the GGA-PBE level of DFT.

Lattice parameters (Å, degrees): 7.6559 8.9874 9.7920 64.12 78.91 88.38
Fractional positions:
Cu 0.0000 0.0000 0.0000
Cu 0.5000 0.5000 0.5000
H 0.0337 0.3249 0.6844
H 0.0588 0.0750 0.5675
H 0.1256 0.7903 0.3106
H 0.1983 0.6615 0.1414
H 0.2263 0.9439 0.4453
H 0.2319 0.9888 0.6422
H 0.2496 0.4977 0.0969
H 0.2613 0.1662 0.4831
H 0.2641 0.6885 0.9534
H 0.3559 0.8935 0.3197
H 0.4131 0.6387 0.0661
H 0.5869 0.3613 0.9339
H 0.6441 0.1065 0.6803
H 0.7359 0.3115 0.0466
H 0.7387 0.8338 0.5169
H 0.7504 0.5023 0.9031
H 0.7681 0.0112 0.3578
H 0.7737 0.0561 0.5547
H 0.8017 0.3385 0.8586
H 0.8744 0.2097 0.6894
H 0.9412 0.9250 0.4325
H 0.9663 0.6751 0.3156
C 0.2299 0.5705 0.6759
C 0.2413 0.2114 0.9948
C 0.3362 0.1241 0.8995
C 0.3978 0.6632 0.6699
C 0.6022 0.3368 0.3301
C 0.6638 0.8759 0.1005
C 0.7587 0.7886 0.0052
C 0.7701 0.4295 0.3241
N 0.1898 0.0541 0.5403
N 0.2801 0.6206 0.0662
N 0.7199 0.3794 0.9338
N 0.8102 0.9459 0.4597
O 0.0677 0.7521 0.2462
O 0.0747 0.1603 0.0554
O 0.0820 0.5770 0.7472
O 0.2355 0.0114 0.8965
O 0.2447 0.8603 0.3975
O 0.2620 0.4744 0.6042
O 0.3193 0.3209 0.0091
O 0.3985 0.7520 0.7364
O 0.4559 0.3661 0.4076
O 0.4936 0.1602 0.8321
O 0.5064 0.8398 0.1679
O 0.5441 0.6339 0.5924
O 0.6015 0.2480 0.2636
O 0.6807 0.6791 0.9909
O 0.7380 0.5256 0.3958
O 0.7553 0.1397 0.6025
O 0.7645 0.9886 0.1035
O 0.9180 0.4230 0.2528
O 0.9253 0.8397 0.9446
O 0.9323 0.2479 0.7538

Results
Energy ... -335.2 eV per cell
Magnetization ... 0.19 Bohr magnetons per cell
Symmetry ... No. 2